CaCrMo4, optimized geometry, DFT GGA-PBEsol; raw total energy = -9.262 eV/atom; ΔH_f (0 K) = 646 meV per atom; space-group type = F-43m; calculated volume = 16.99 Å³ per atom
1.0
0.000 3.708 3.708
3.708 0.000 3.708
3.708 3.708 0.000
Ca Cr Mo
1 1 4
Cartesian
0.000 0.000 0.000
5.562 5.562 5.562
2.782 2.782 2.782
4.634 4.634 2.782
4.634 2.782 4.634
2.782 4.634 4.634